[1]
Density functional theory data (PBE-GGA) for crystalline Rb2FeReI6 at its relaxed geometry.

The structure in CIF format:
```
data_Rb2FeReI6
_symmetry_space_group_name_H-M 'I 4/m m m'
_symmetry_Int_Tables_number 139
_symmetry_space_group_name_Hall '-I 4 2'
_cell_length_a 8.0325
_cell_length_b 8.0325
_cell_length_c 11.3165
_cell_angle_alpha 90.00
_cell_angle_beta 90.00
_cell_angle_gamma 90.00
loop_
_atom_site_label
_atom_site_fract_x
_atom_site_fract_y
_atom_site_fract_z
_atom_site_occupancy
Rb1 0.0000 0.5000 0.2500 1
Fe1 0.0000 0.0000 0.0000 1
Re1 0.0000 0.0000 0.5000 1
I1 0.0000 0.0000 0.2532 1
I2 0.2458 0.2458 0.5000 1
```

Computed properties:
Volume ... 36.51 Å³/atom
Energy ... -3.51 eV/atom
Raw formation energy ... -294 meV/atom

***

[2]
Density functional theory data (PBE-GGA) for crystalline AlSiTcIr at its relaxed geometry.

The structure in CIF format:
```
data_AlSiTcIr
_symmetry_space_group_name_H-M 'P m m m'
_symmetry_Int_Tables_number 47
_symmetry_space_group_name_Hall '-P 2 2'
_cell_length_a 2.9971
_cell_length_b 4.1571
_cell_length_c 4.3052
_cell_angle_alpha 90.00
_cell_angle_beta 90.00
_cell_angle_gamma 90.00
loop_
_atom_site_label
_atom_site_fract_x
_atom_site_fract_y
_atom_site_fract_z
_atom_site_occupancy
Al1 0.0000 0.0000 0.0000 1
Si1 0.0000 0.5000 0.5000 1
Tc1 0.5000 0.0000 0.5000 1
Ir1 0.5000 0.5000 0.0000 1
```

Computed properties:
Volume ... 13.41 Å³/atom
Energy relative to the lowest polymorph listed for this composition ... 0.000 eV/atom
Energy ... -7.73 eV/atom
Raw formation energy ... -627 meV/atom

***

[3]
Density functional theory data (PBE-GGA) for crystalline Ba8P3I3Br at its relaxed geometry.

The structure in CIF format:
```
data_Ba8P3I3Br
_symmetry_space_group_name_H-M 'R -3 m'
_symmetry_Int_Tables_number 166
_symmetry_space_group_name_Hall '-R 3 2"'
_cell_length_a 9.6151
_cell_length_b 9.6151
_cell_length_c 24.1587
_cell_angle_alpha 90.00
_cell_angle_beta 90.00
_cell_angle_gamma 120.00
loop_
_atom_site_label
_atom_site_fract_x
_atom_site_fract_y
_atom_site_fract_z
_atom_site_occupancy
Ba1 0.0000 0.0000 0.2357 1
Ba2 0.0305 0.5153 0.7598 1
P1 0.0000 0.5000 0.5000 1
I1 0.0000 0.5000 0.0000 1
Br1 0.0000 0.0000 0.5000 1
```

Computed properties:
Volume ... 42.98 Å³/atom
Energy ... -3.87 eV/atom
Raw formation energy ... -1343 meV/atom